ZrRu5: optimized geometry, PBE.

- VASP energy: -54.15 eV for the cell shown
- Calculated formation energy: 0.1298 eV per atom
- DOS(E_F): 9.36 states/eV per cell
- Spin magnetization: 0.6 μB/f.u.

Unit cell a=5.113 b=5.113 c=5.113 alpha=60.00 beta=60.00 gamma=60.00
Element x y z (fractional)
Zr 0.000 0.000 0.000
Ru 0.376 0.376 0.376
Ru 0.376 0.376 0.873
Ru 0.376 0.873 0.376
Ru 0.750 0.750 0.750
Ru 0.873 0.376 0.376